PBE ReRhCl2, relaxed; energy above the lowest structure with this stoichiometry = 734 meV per atom; formation energy (no corrections) = 0.70 eV per atom; space-group type = Imm2; crystal system = orthorhombic
1.0
-1.4354 2.2042 5.5876
1.4354 -2.2042 5.5876
1.4354 2.2042 -5.5876
Re Rh Cl
1 1 2
Cartesian
0.0000 0.0000 0.0000 Re
1.4354 0.0000 2.0929 Rh
0.0000 0.0000 5.6102 Cl
0.0000 2.2042 3.4161 Cl

PBE FeAsAu2, relaxed; energy relative to the elements = 0.19 eV/atom; space-group type = Cm; crystal system = monoclinic
1.0
5.5098 -1.4142 0.0000
5.5098 1.4142 0.0000
-1.1503 0.0000 4.5857
Fe As Au
1 1 2
Cartesian
0.0000 0.0000 0.0000 Fe
2.3466 0.0000 3.9629 As
4.5054 0.0000 2.2051 Au
7.3013 0.0000 1.4038 Au

PBE RePdN3, relaxed; formation energy (no corrections) = 0.96 eV per atom; space-group type = Pm-3m; crystal system = cubic
1.0
3.8932 0.0000 0.0000
0.0000 3.8932 0.0000
0.0000 0.0000 3.8932
Re Pd N
1 1 3
Cartesian
0.0000 0.0000 0.0000 Re
1.9466 1.9466 1.9466 Pd
0.0000 0.0000 1.9466 N
0.0000 1.9466 0.0000 N
1.9466 0.0000 0.0000 N

PBE CrNiB, relaxed; energy relative to the elements = -0.15 eV/atom; space-group type = C2/m; crystal system = monoclinic
1.0
3.8632 -1.4829 0.0000
3.8632 1.4829 0.0000
-3.1179 0.0000 4.9442
Cr Ni B
2 2 2
Cartesian
1.1150 0.0000 0.3220 Cr
3.4935 0.0000 4.6223 Cr
1.2316 0.0000 3.0985 Ni
3.3769 0.0000 1.8457 Ni
-1.0608 0.0000 3.2211 B
5.6692 0.0000 1.7232 B

PBE ScReSe2, relaxed; energy above the lowest structure with this stoichiometry = 449 meV per atom; formation energy (no corrections) = -0.04 eV per atom; space-group type = R-3m; crystal system = trigonal
1.0
1.6480 0.9515 8.4614
-1.6480 0.9515 8.4614
0.0000 -1.9029 8.4614
Sc Re Se
1 1 2
Cartesian
0.0000 0.0000 0.0000 Sc
0.0000 0.0000 12.6921 Re
0.0000 0.0000 10.2910 Se
0.0000 0.0000 15.0932 Se

PBE CaZnIr, relaxed; energy relative to the elements = -0.22 eV/atom; space-group type = Imma; crystal system = orthorhombic
1.0
-2.4614 4.2813 3.2655
2.4614 -4.2813 3.2655
2.4614 4.2813 -3.2655
Ca Zn Ir
2 2 2
Cartesian
0.0000 0.0000 0.0000 Ca
0.0000 4.2813 0.0000 Ca
2.4614 2.1406 0.6843 Zn
0.0000 2.1406 2.5812 Zn
1.2307 2.1406 -1.6328 Ir
1.2307 -2.1406 1.6328 Ir

PBE PmIr2Rh4, relaxed; energy relative to the elements = -0.26 eV/atom; space-group type = C2/m; crystal system = monoclinic
1.0
4.2257 -3.3252 0.0000
4.2257 3.3252 0.0000
-3.2173 0.0000 4.1107
Pm Ir Rh
1 2 4
Cartesian
0.0000 0.0000 0.0000 Pm
3.4136 0.0000 1.0212 Ir
1.8205 0.0000 3.0895 Ir
3.6585 -2.0026 2.8716 Rh
1.5757 2.0026 1.2392 Rh
3.6585 2.0026 2.8716 Rh
1.5757 -2.0026 1.2392 Rh

PBE SbSN2F, relaxed; energy above the lowest structure with this stoichiometry = 0 meV per atom; formation energy (no corrections) = 0.93 eV per atom; space-group type = P4/mmm; crystal system = tetragonal
1.0
3.8727 0.0000 0.0000
0.0000 3.8727 0.0000
0.0000 0.0000 3.9731
Sb S N F
1 1 2 1
Cartesian
0.0000 0.0000 0.0000 Sb
1.9364 1.9364 1.9865 S
0.0000 1.9364 1.9865 N
1.9364 0.0000 1.9865 N
1.9364 1.9364 0.0000 F

Question: What is the formula in the fourth record?
Answer: CrNiB

Copy entry 3 word for word.
PBE RePdN3, relaxed; formation energy (no corrections) = 0.96 eV per atom; space-group type = Pm-3m; crystal system = cubic
1.0
3.8932 0.0000 0.0000
0.0000 3.8932 0.0000
0.0000 0.0000 3.8932
Re Pd N
1 1 3
Cartesian
0.0000 0.0000 0.0000 Re
1.9466 1.9466 1.9466 Pd
0.0000 0.0000 1.9466 N
0.0000 1.9466 0.0000 N
1.9466 0.0000 0.0000 N